! PBEsol CeSc3B4O12, relaxed; values from VASP
! - Space-group type: R32 (155)
! - Energy relative to the elements, uncorrected: -3.03 eV per atom
! - Total magnetization: 1.000 μB/cell
&SYSTEM
  ibrav = 0, nat = 20, ntyp = 4
/
ATOMIC_SPECIES
Ce 140.12 Ce.upf
Sc 44.96 Sc.upf
B 10.81 B.upf
O 16.00 O.upf
ATOMIC_POSITIONS crystal
Ce 0.000 0.000 0.000
Sc 0.000 0.548 0.452
Sc 0.452 0.000 0.548
Sc 0.548 0.452 0.000
B 0.050 0.500 0.950
B 0.500 0.500 0.500
B 0.500 0.950 0.050
B 0.950 0.050 0.500
O 0.031 0.629 0.799
O 0.091 0.909 0.500
O 0.201 0.371 0.969
O 0.359 0.641 0.500
O 0.371 0.969 0.201
O 0.500 0.091 0.909
O 0.500 0.359 0.641
O 0.629 0.799 0.031
O 0.641 0.500 0.359
O 0.799 0.031 0.629
O 0.909 0.500 0.091
O 0.969 0.201 0.371
CELL_PARAMETERS angstrom
4.908 2.834 2.633
-4.908 2.834 2.633
0.000 -5.668 2.633



! PBEsol CeB2Os2, relaxed; values from VASP
! - Space-group type: Fddd (70)
! - Formation energy: -0.441 eV per atom
! - Total magnetization: 0.152 μB/cell
&SYSTEM
  ibrav = 0, nat = 10, ntyp = 3
/
ATOMIC_SPECIES
Ce 140.12 Ce.upf
B 10.81 B.upf
Os 190.23 Os.upf
ATOMIC_POSITIONS crystal
Ce 0.125 0.125 0.125
Ce 0.875 0.875 0.875
B 0.188 0.562 0.188
B 0.438 0.812 0.438
B 0.562 0.188 0.562
B 0.812 0.438 0.812
Os 0.237 0.237 0.513
Os 0.487 0.487 0.763
Os 0.513 0.513 0.237
Os 0.763 0.763 0.487
CELL_PARAMETERS angstrom
0.000 4.451 4.968
3.301 0.000 4.968
3.301 4.451 0.000



! PBEsol CeBPt3, relaxed; values from VASP
! - Space-group type: Pm-3m (221)
! - Formation energy: -0.598 eV per atom
! - Total magnetization: 0.461 μB/cell
&SYSTEM
  ibrav = 0, nat = 5, ntyp = 3
/
ATOMIC_SPECIES
Ce 140.12 Ce.upf
B 10.81 B.upf
Pt 195.08 Pt.upf
ATOMIC_POSITIONS crystal
Ce 0.000 0.000 0.000
B 0.500 0.500 0.500
Pt 0.000 0.500 0.500
Pt 0.500 0.000 0.500
Pt 0.500 0.500 0.000
CELL_PARAMETERS angstrom
4.331 0.000 0.000
0.000 4.331 0.000
0.000 0.000 4.331



! PBEsol CeBPt3, relaxed; values from VASP
! - Space-group type: P4mm (99)
! - Formation energy: -0.865 eV per atom
! - Total magnetization: 0.069 μB/cell
&SYSTEM
  ibrav = 0, nat = 5, ntyp = 3
/
ATOMIC_SPECIES
Ce 140.12 Ce.upf
B 10.81 B.upf
Pt 195.08 Pt.upf
ATOMIC_POSITIONS crystal
Ce 0.000 0.000 0.000
B 0.500 0.500 0.736
Pt 0.000 0.500 0.534
Pt 0.500 0.000 0.534
Pt 0.500 0.500 0.147
CELL_PARAMETERS angstrom
3.914 0.000 0.000
0.000 3.914 0.000
0.000 0.000 5.156



! PBEsol CeBRh3, relaxed; values from VASP
! - Space-group type: Pm-3m (221)
! - Formation energy: -0.739 eV per atom
! - Total magnetization: 0.246 μB/cell
&SYSTEM
  ibrav = 0, nat = 5, ntyp = 3
/
ATOMIC_SPECIES
Ce 140.12 Ce.upf
B 10.81 B.upf
Rh 102.91 Rh.upf
ATOMIC_POSITIONS crystal
Ce 0.000 0.000 0.000
B 0.500 0.500 0.500
Rh 0.000 0.500 0.500
Rh 0.500 0.000 0.500
Rh 0.500 0.500 0.000
CELL_PARAMETERS angstrom
4.172 0.000 0.000
0.000 4.172 0.000
0.000 0.000 4.172



! PBEsol CeB2Ru2Rh, relaxed; values from VASP
! - Space-group type: Cmmm (65)
! - Formation energy: -0.601 eV per atom
! - Total magnetization: 0.613 μB/cell
&SYSTEM
  ibrav = 0, nat = 12, ntyp = 4
/
ATOMIC_SPECIES
Ce 140.12 Ce.upf
B 10.81 B.upf
Ru 101.07 Ru.upf
Rh 102.91 Rh.upf
ATOMIC_POSITIONS crystal
Ce 0.000 0.000 0.000
Ce 0.500 0.500 0.000
B 0.000 0.328 0.000
B 0.000 0.672 0.000
B 0.500 0.172 0.000
B 0.500 0.828 0.000
Ru 0.250 0.250 0.500
Ru 0.250 0.750 0.500
Ru 0.750 0.250 0.500
Ru 0.750 0.750 0.500
Rh 0.000 0.500 0.500
Rh 0.500 0.000 0.500
CELL_PARAMETERS angstrom
5.571 0.000 0.000
0.000 9.386 0.000
0.000 0.000 2.954